a:
Here is a geometry-optimized ZrFeAs2Se structure from Alexandria. Energies are from PBE-GGA.

Values from the calculation:
SG: No. 123
Spin magnetization, μB per formula unit: 1.6
Density of states at the Fermi level, states/eV/f.u.: 5.65
Theoretical density, g/cm³: 6.28

Geometry as CIF:
```
data_ZrFeAs2Se
_symmetry_space_group_name_H-M 'P 1'
_symmetry_Int_Tables_number 1
_cell_length_a 4.452
_cell_length_b 4.452
_cell_length_c 5.017
_cell_angle_alpha 90.00
_cell_angle_beta 90.00
_cell_angle_gamma 90.00
loop_
_symmetry_equiv_pos_as_xyz
'x,y,z'
loop_
_atom_site_label
_atom_site_type_symbol
_atom_site_fract_x
_atom_site_fract_y
_atom_site_fract_z
_atom_site_occupancy
As1 As 0.000 0.500 0.000 1
As2 As 0.500 0.000 0.000 1
Se1 Se 0.000 0.000 0.500 1
Zr1 Zr 0.500 0.500 0.500 1
Fe1 Fe 0.000 0.000 0.000 1
```

---

b:
Here is a geometry-optimized ZrFeAs2Se structure from Alexandria. Energies are from PBE-GGA.

Values from the calculation:
SG: No. 123
Spin magnetization, μB per formula unit: 3.4
Density of states at the Fermi level, states/eV/f.u.: 8.02
Theoretical density, g/cm³: 4.52

Geometry as CIF:
```
data_ZrFeAs2Se
_symmetry_space_group_name_H-M 'P 1'
_symmetry_Int_Tables_number 1
_cell_length_a 5.191
_cell_length_b 5.191
_cell_length_c 5.129
_cell_angle_alpha 90.00
_cell_angle_beta 90.00
_cell_angle_gamma 90.00
loop_
_symmetry_equiv_pos_as_xyz
'x,y,z'
loop_
_atom_site_label
_atom_site_type_symbol
_atom_site_fract_x
_atom_site_fract_y
_atom_site_fract_z
_atom_site_occupancy
As1 As 0.000 0.500 0.000 1
As2 As 0.500 0.000 0.000 1
Se1 Se 0.000 0.000 0.500 1
Zr1 Zr 0.000 0.000 0.000 1
Fe1 Fe 0.500 0.500 0.500 1
```

---

Most stable = a